## AcAlAgBi (PBE-GGA)

Data for an optimized crystal structure of AcAlAgBi.

Output
Theoretical density   8.50 Mg/m³
Formation energy   -0.158 eV/atom

Unit cell a=5.4034 b=5.4034 c=5.4034 alpha=60.00 beta=60.00 gamma=60.00
Closest atoms and distances in Å follow each position.
Positions (direct):
Ac  0.5000  0.5000  0.5000  4 Al 3.31, 4 Ag 3.31
Bi  0.0000  0.0000  0.0000  4 Ag 3.31, 4 Al 3.31
Ag  0.7500  0.7500  0.7500  4 Ac 3.31, 4 Bi 3.31
Al  0.2500  0.2500  0.2500  4 Ac 3.31, 4 Bi 3.31